Here is an optimized crystal structure of Ca4CuSb from the Alexandria database. Energies are from GGA-PBE.

magnetic moment: 0.000 μB/f.u.
formation energy (no corrections): 319 meV/atom
uncorrected energy: -0.1753 Ry/atom
Fermi-level density of states: 4.607 states/eV per cell

Cell lengths 6.5498, 6.5498, 6.5498 Å; angles 60.00, 60.00, 60.00 degrees
Element x y z (fractional)
Ca 0.3741 0.3741 0.3741
Ca 0.8777 0.3741 0.3741
Ca 0.3741 0.8777 0.3741
Ca 0.3741 0.3741 0.8777
Sb 0.0000 0.0000 0.0000
Cu 0.7500 0.7500 0.7500